[1]
A relaxed structure of Nd2Tm3Mg3. Source: Alexandria, functional PBE-GGA.

Geometry as CIF:
```
data_Nd2Tm3Mg3
_chemical_formula_sum 'Nd2 Tm3 Mg3'
_cell_length_a 5.4511
_cell_length_b 5.4511
_cell_length_c 9.4917
_cell_angle_alpha 73.31
_cell_angle_beta 73.31
_cell_angle_gamma 60.00
_symmetry_space_group_name_H-M 'P 1'
_symmetry_Int_Tables_number 1
loop_
_symmetry_equiv_pos_as_xyz
'x,y,z'
loop_
_atom_site_label
_atom_site_fract_x
_atom_site_fract_y
_atom_site_fract_z
Nd1 0.0019 0.0019 0.9942
Nd2 0.4990 0.4990 0.5029
Tm1 0.2460 0.2460 0.2619
Tm2 0.7527 0.7527 0.7420
Tm3 0.6254 0.6254 0.1239
Mg1 0.1251 0.1251 0.6248
Mg2 0.8776 0.8776 0.3673
Mg3 0.3723 0.3723 0.8831
```

Computed properties:
The calculation puts the density of states at the Fermi level at 9.026 states/eV/f.u. The value obtained for the formation energy from the elements is -0.018 eV/atom. Its symmetry is No. 160.



[2]
A relaxed structure of Nd2TmMg9. Source: Alexandria, functional PBE-GGA.

Geometry as CIF:
```
data_Nd2TmMg9
_chemical_formula_sum 'Nd2 Tm1 Mg9'
_cell_length_a 6.0760
_cell_length_b 6.0760
_cell_length_c 10.4002
_cell_angle_alpha 73.02
_cell_angle_beta 73.02
_cell_angle_gamma 60.00
_symmetry_space_group_name_H-M 'P 1'
_symmetry_Int_Tables_number 1
loop_
_symmetry_equiv_pos_as_xyz
'x,y,z'
loop_
_atom_site_label
_atom_site_fract_x
_atom_site_fract_y
_atom_site_fract_z
Nd1 0.8587 0.8587 0.4238
Nd2 0.1413 0.1413 0.5762
Tm1 0.0000 0.0000 0.0000
Mg1 0.6661 0.6661 0.0018
Mg2 0.3339 0.3339 0.9982
Mg3 0.5000 0.5000 0.5000
Mg4 0.4153 0.4153 0.2486
Mg5 0.9207 0.4153 0.2486
Mg6 0.4153 0.9207 0.2486
Mg7 0.5847 0.5847 0.7514
Mg8 0.5847 0.0793 0.7514
Mg9 0.0793 0.5847 0.7514
```

Computed properties:
The calculation puts the density of states at the Fermi level at 11.531 states/eV/f.u. The value obtained for the formation energy from the elements is -0.031 eV/atom. Its symmetry is No. 166.



[3]
A relaxed structure of Nd12Tm6Mg. Source: Alexandria, functional PBE-GGA.

Geometry as CIF:
```
data_Nd12Tm6Mg
_chemical_formula_sum 'Nd12 Tm6 Mg1'
_cell_length_a 8.7301
_cell_length_b 8.7301
_cell_length_c 8.7301
_cell_angle_alpha 97.67
_cell_angle_beta 97.67
_cell_angle_gamma 97.67
_symmetry_space_group_name_H-M 'P 1'
_symmetry_Int_Tables_number 1
loop_
_symmetry_equiv_pos_as_xyz
'x,y,z'
loop_
_atom_site_label
_atom_site_fract_x
_atom_site_fract_y
_atom_site_fract_z
Nd1 0.5822 0.1688 0.5821
Nd2 0.1688 0.5821 0.5822
Nd3 0.5821 0.5822 0.1688
Nd4 0.4178 0.8312 0.4179
Nd5 0.8312 0.4179 0.4178
Nd6 0.4179 0.4178 0.8312
Nd7 0.2602 0.0004 0.7396
Nd8 0.2604 0.7398 0.9996
Nd9 0.9996 0.2604 0.7398
Nd10 0.7398 0.9996 0.2604
Nd11 0.7396 0.2602 0.0004
Nd12 0.0004 0.7396 0.2602
Tm1 0.1382 0.1388 0.4063
Tm2 0.8612 0.5937 0.8618
Tm3 0.5937 0.8618 0.8612
Tm4 0.8618 0.8612 0.5937
Tm5 0.1388 0.4063 0.1382
Tm6 0.4063 0.1382 0.1388
Mg1 0.0000 0.0000 0.0000
```

Computed properties:
The calculation puts the density of states at the Fermi level at 24.045 states/eV/f.u. As for the energy above the most stable polymorph in this dataset: 14 meV/atom. The value obtained for the formation energy from the elements is 0.135 eV/atom. Its symmetry is No. 166.



[4]
A relaxed structure of Nd2TmMg4. Source: Alexandria, functional PBE-GGA.

Geometry as CIF:
```
data_Nd2TmMg4
_chemical_formula_sum 'Nd2 Tm1 Mg4'
_cell_length_a 5.3610
_cell_length_b 5.3610
_cell_length_c 8.4674
_cell_angle_alpha 71.54
_cell_angle_beta 71.54
_cell_angle_gamma 60.00
_symmetry_space_group_name_H-M 'P 1'
_symmetry_Int_Tables_number 1
loop_
_symmetry_equiv_pos_as_xyz
'x,y,z'
loop_
_atom_site_label
_atom_site_fract_x
_atom_site_fract_y
_atom_site_fract_z
Nd1 0.7142 0.7142 0.8574
Nd2 0.2858 0.2858 0.1426
Tm1 0.0000 0.0000 0.0000
Mg1 0.8622 0.8622 0.4134
Mg2 0.1378 0.1378 0.5866
Mg3 0.5689 0.5689 0.2933
Mg4 0.4311 0.4311 0.7067
```

Computed properties:
The calculation puts the density of states at the Fermi level at 6.605 states/eV/f.u. As for the energy above the most stable polymorph in this dataset: 0 meV/atom. The value obtained for the formation energy from the elements is 0.040 eV/atom. Its symmetry is No. 166.



[5]
A relaxed structure of Nd3TmMg6. Source: Alexandria, functional PBE-GGA.

Geometry as CIF:
```
data_Nd3TmMg6
_chemical_formula_sum 'Nd6 Tm2 Mg12'
_cell_length_a 5.3270
_cell_length_b 9.4143
_cell_length_c 11.3994
_cell_angle_alpha 105.38
_cell_angle_beta 90.00
_cell_angle_gamma 90.00
_symmetry_space_group_name_H-M 'P 1'
_symmetry_Int_Tables_number 1
loop_
_symmetry_equiv_pos_as_xyz
'x,y,z'
loop_
_atom_site_label
_atom_site_fract_x
_atom_site_fract_y
_atom_site_fract_z
Nd1 0.2500 0.5389 0.3949
Nd2 0.7500 0.4611 0.6051
Nd3 0.2500 0.3497 0.7880
Nd4 0.7500 0.6503 0.2120
Nd5 0.2500 0.7543 0.0055
Nd6 0.7500 0.2457 0.9945
Tm1 0.2500 0.9529 0.5974
Tm2 0.7500 0.0471 0.4026
Mg1 0.2500 0.4392 0.0961
Mg2 0.7500 0.5608 0.9039
Mg3 0.2500 0.1452 0.1892
Mg4 0.7500 0.8548 0.8108
Mg5 0.2500 0.6720 0.7066
Mg6 0.7500 0.3280 0.2934
Mg7 0.2500 0.2346 0.4821
Mg8 0.7500 0.7654 0.5179
Mg9 0.2500 0.8666 0.3047
Mg10 0.7500 0.1334 0.6953
Mg11 0.2500 0.0446 0.8935
Mg12 0.7500 0.9554 0.1065
```

Computed properties:
The calculation puts the density of states at the Fermi level at 10.152 states/eV/f.u. The value obtained for the formation energy from the elements is -0.072 eV/atom. Its symmetry is No. 11.



[6]
A relaxed structure of Nd2TmMg8. Source: Alexandria, functional PBE-GGA.

Geometry as CIF:
```
data_Nd2TmMg8
_chemical_formula_sum 'Nd2 Tm1 Mg8'
_cell_length_a 5.3244
_cell_length_b 7.7944
_cell_length_c 8.5542
_cell_angle_alpha 117.10
_cell_angle_beta 108.13
_cell_angle_gamma 90.00
_symmetry_space_group_name_H-M 'P 1'
_symmetry_Int_Tables_number 1
loop_
_symmetry_equiv_pos_as_xyz
'x,y,z'
loop_
_atom_site_label
_atom_site_fract_x
_atom_site_fract_y
_atom_site_fract_z
Nd1 0.2104 0.7104 0.4208
Nd2 0.7896 0.2896 0.5792
Tm1 0.5000 0.0000 0.0000
Mg1 0.6311 0.8242 0.2623
Mg2 0.3688 0.5619 0.7377
Mg3 0.1514 0.1514 0.3028
Mg4 0.0000 0.2857 0.0000
Mg5 0.8486 0.8486 0.6972
Mg6 0.6312 0.4381 0.2623
Mg7 0.3689 0.1758 0.7377
Mg8 0.0000 0.7143 0.0000
```

Computed properties:
The calculation puts the density of states at the Fermi level at 8.777 states/eV/f.u. The value obtained for the formation energy from the elements is 0.039 eV/atom. Its symmetry is No. 71.



[7]
A relaxed structure of NdTmMg. Source: Alexandria, functional PBE-GGA.

Geometry as CIF:
```
data_NdTmMg
_chemical_formula_sum 'Nd2 Tm2 Mg2'
_cell_length_a 3.3399
_cell_length_b 5.6928
_cell_length_c 9.7012
_cell_angle_alpha 90.00
_cell_angle_beta 90.00
_cell_angle_gamma 90.00
_symmetry_space_group_name_H-M 'P 1'
_symmetry_Int_Tables_number 1
loop_
_symmetry_equiv_pos_as_xyz
'x,y,z'
loop_
_atom_site_label
_atom_site_fract_x
_atom_site_fract_y
_atom_site_fract_z
Tm1 0.5000 0.0000 0.7630
Tm2 0.0000 0.5000 0.2370
Nd1 0.0000 0.0000 0.4364
Nd2 0.5000 0.5000 0.5636
Mg1 0.5000 0.5000 0.9357
Mg2 0.0000 0.0000 0.0643
```

Computed properties:
The calculation puts the density of states at the Fermi level at 3.048 states/eV/f.u. As for the energy above the most stable polymorph in this dataset: 210 meV/atom. The value obtained for the formation energy from the elements is 0.166 eV/atom. Its symmetry is No. 59.



[8]
A relaxed structure of NdTm2Mg4. Source: Alexandria, functional PBE-GGA.

Geometry as CIF:
```
data_NdTm2Mg4
_chemical_formula_sum 'Nd1 Tm2 Mg4'
_cell_length_a 5.4758
_cell_length_b 5.9640
_cell_length_c 7.1083
_cell_angle_alpha 114.80
_cell_angle_beta 90.00
_cell_angle_gamma 90.00
_symmetry_space_group_name_H-M 'P 1'
_symmetry_Int_Tables_number 1
loop_
_symmetry_equiv_pos_as_xyz
'x,y,z'
loop_
_atom_site_label
_atom_site_fract_x
_atom_site_fract_y
_atom_site_fract_z
Nd1 0.0000 0.5000 0.0000
Tm1 0.5000 0.1295 0.2591
Tm2 0.5000 0.8705 0.7409
Mg1 0.5000 0.6251 0.2502
Mg2 0.0000 0.7529 0.5058
Mg3 0.5000 0.3749 0.7498
Mg4 0.0000 0.2471 0.4942
```

Computed properties:
The calculation puts the density of states at the Fermi level at 5.481 states/eV/f.u. As for the energy above the most stable polymorph in this dataset: 223 meV/atom. The value obtained for the formation energy from the elements is 0.375 eV/atom. Its symmetry is No. 65.



[9]
A relaxed structure of Nd6Tm12Mg. Source: Alexandria, functional PBE-GGA.

Geometry as CIF:
```
data_Nd6Tm12Mg
_chemical_formula_sum 'Nd6 Tm12 Mg1'
_cell_length_a 8.6302
_cell_length_b 8.6302
_cell_length_c 8.6302
_cell_angle_alpha 97.65
_cell_angle_beta 97.65
_cell_angle_gamma 97.65
_symmetry_space_group_name_H-M 'P 1'
_symmetry_Int_Tables_number 1
loop_
_symmetry_equiv_pos_as_xyz
'x,y,z'
loop_
_atom_site_label
_atom_site_fract_x
_atom_site_fract_y
_atom_site_fract_z
Nd1 0.1352 0.1353 0.4098
Nd2 0.8647 0.5902 0.8648
Nd3 0.5902 0.8648 0.8647
Nd4 0.8648 0.8647 0.5902
Nd5 0.1353 0.4098 0.1352
Nd6 0.4098 0.1352 0.1353
Tm1 0.5960 0.1651 0.5959
Tm2 0.1651 0.5959 0.5960
Tm3 0.5959 0.5960 0.1651
Tm4 0.4040 0.8349 0.4041
Tm5 0.8349 0.4041 0.4040
Tm6 0.4041 0.4040 0.8349
Tm7 0.2614 0.0000 0.7386
Tm8 0.2614 0.7386 0.0000
Tm9 0.0000 0.2614 0.7386
Tm10 0.7386 0.0000 0.2614
Tm11 0.7386 0.2614 0.0000
Tm12 0.0000 0.7386 0.2614
Mg1 0.0000 0.0000 0.0000
```

Computed properties:
The calculation puts the density of states at the Fermi level at 28.686 states/eV/f.u. The value obtained for the formation energy from the elements is 0.132 eV/atom. Its symmetry is No. 166.



[10]
A relaxed structure of Nd4Tm3Mg. Source: Alexandria, functional PBE-GGA.

Geometry as CIF:
```
data_Nd4Tm3Mg
_chemical_formula_sum 'Nd4 Tm3 Mg1'
_cell_length_a 3.6315
_cell_length_b 3.6315
_cell_length_c 19.3362
_cell_angle_alpha 90.00
_cell_angle_beta 90.00
_cell_angle_gamma 90.00
_symmetry_space_group_name_H-M 'P 1'
_symmetry_Int_Tables_number 1
loop_
_symmetry_equiv_pos_as_xyz
'x,y,z'
loop_
_atom_site_label
_atom_site_fract_x
_atom_site_fract_y
_atom_site_fract_z
Mg1 0.5000 0.5000 0.0000
Tm1 0.5000 0.5000 0.2433
Tm2 0.5000 0.5000 0.5000
Tm3 0.5000 0.5000 0.7567
Nd1 0.0000 0.0000 0.8846
Nd2 0.0000 0.0000 0.1154
Nd3 0.0000 0.0000 0.3724
Nd4 0.0000 0.0000 0.6276
```

Computed properties:
The calculation puts the density of states at the Fermi level at 11.199 states/eV/f.u. The value obtained for the formation energy from the elements is -0.003 eV/atom. Its symmetry is No. 123.



[11]
A relaxed structure of NdTm2Mg3. Source: Alexandria, functional PBE-GGA.

Geometry as CIF:
```
data_NdTm2Mg3
_chemical_formula_sum 'Nd1 Tm2 Mg3'
_cell_length_a 3.7844
_cell_length_b 3.7844
_cell_length_c 11.4483
_cell_angle_alpha 90.00
_cell_angle_beta 90.00
_cell_angle_gamma 90.00
_symmetry_space_group_name_H-M 'P 1'
_symmetry_Int_Tables_number 1
loop_
_symmetry_equiv_pos_as_xyz
'x,y,z'
loop_
_atom_site_label
_atom_site_fract_x
_atom_site_fract_y
_atom_site_fract_z
Nd1 0.5000 0.5000 0.5000
Tm1 0.5000 0.5000 0.8388
Tm2 0.5000 0.5000 0.1612
Mg1 0.0000 0.0000 0.0000
Mg2 0.0000 0.0000 0.6778
Mg3 0.0000 0.0000 0.3222
```

Computed properties:
The calculation puts the density of states at the Fermi level at 7.924 states/eV/f.u. The value obtained for the formation energy from the elements is -0.070 eV/atom. Its symmetry is No. 123.